# 1
An optimized crystal structure of Eu2TmLu, computed with PBE-GGA.

The calculation puts the energy above the most stable polymorph in this dataset at 0 meV per atom. Its density of states at the Fermi level is 5.1 states/eV/f.u. For the formation energy, the calculation gives 48 kJ/mol of formula units. The value obtained for the total magnetization is 46.22 Bohr magnetons per cell.

It has space group R-3m (No. 166, hexagonal axes), with a = 3.6141 Å, b = 3.6141 Å, c = 35.9748 Å, α = 90.00°, β = 90.00° and γ = 120.00°. The inequivalent atoms are Eu at (0.0000, 0.0000, 0.2503), Tm at (0.0000, 0.0000, 0.5000) and Lu at (0.0000, 0.0000, 0.0000).


# 2
An optimized crystal structure of VNi3, computed with PBE-GGA.

Its density of states at the Fermi level is 5.8 states/eV/f.u. For the formation energy, the calculation gives -39 kJ/mol of formula units. The value obtained for the total magnetization is 0.00 Bohr magnetons per cell.

It has space group P4/mmm (No. 123), with a = 2.513 Å, b = 2.513 Å, c = 7.191 Å, α = 90.00°, β = 90.00° and γ = 90.00°. The inequivalent atoms are V at (0.000, 0.000, 0.000), Ni at (0.000, 0.000, 0.500) and Ni at (0.500, 0.500, 0.254).


# 3
An optimized crystal structure of SmYCoOs, computed with PBE-GGA.

Its density of states at the Fermi level is 5.4 states/eV/f.u. For the formation energy, the calculation gives -6 kJ/mol of formula units. The value obtained for the total magnetization is 2.82 Bohr magnetons per cell.

It has space group F-43m (No. 216), with a = 6.859 Å, b = 6.859 Å, c = 6.859 Å, α = 90.00°, β = 90.00° and γ = 90.00°. The inequivalent atoms are Sm at (0.000, 0.000, 0.000), Y at (0.000, 0.000, 0.500), Co at (0.250, 0.250, 0.250) and Os at (0.250, 0.250, 0.750).


# 4
An optimized crystal structure of UAlZn17, computed with PBE-GGA.

Its density of states at the Fermi level is 11.6 states/eV/f.u. For the formation energy, the calculation gives 12 kJ/mol of formula units. The value obtained for the total magnetization is 8.63 Bohr magnetons per cell.

It has space group R3m (No. 160, hexagonal axes), with a = 8.9148 Å, b = 8.9148 Å, c = 13.4088 Å, α = 90.00°, β = 90.00° and γ = 120.00°. The inequivalent atoms are U at (0.0000, 0.0000, 0.0000), Al at (0.0000, 0.0000, 0.2444), Zn at (0.0000, 0.0000, 0.5659), Zn at (0.0000, 0.0000, 0.7621), Zn at (0.0001, 0.3537, 0.9981), Zn at (0.0003, 0.5002, 0.8188), Zn at (0.1677, 0.3353, 0.8307) and Zn at (0.1711, 0.3421, 0.5091).


# 5
An optimized crystal structure of NaV2CuIr, computed with PBE-GGA.

Its density of states at the Fermi level is 5.5 states/eV/f.u. For the formation energy, the calculation gives 364 kJ/mol of formula units. The value obtained for the total magnetization is 4.41 Bohr magnetons per cell.

It has space group P4/mmm (No. 123), with a = 4.703 Å, b = 4.703 Å, c = 4.916 Å, α = 90.00°, β = 90.00° and γ = 90.00°. The inequivalent atoms are Na at (0.000, 0.000, 0.000), V at (0.000, 0.500, 0.500), Cu at (0.500, 0.500, 0.000) and Ir at (0.500, 0.500, 0.500).


# 6
An optimized crystal structure of TmPd3Au3, computed with PBE-GGA.

The calculation puts the energy above the most stable polymorph in this dataset at 0 meV per atom. Its density of states at the Fermi level is 2.6 states/eV/f.u. For the formation energy, the calculation gives -338 kJ/mol of formula units. The value obtained for the total magnetization is 0.00 Bohr magnetons per cell.

It has space group P6_3/m (No. 176), with a = 7.7192 Å, b = 7.7192 Å, c = 4.8066 Å, α = 90.00°, β = 90.00° and γ = 120.00°. The inequivalent atoms are Tm at (0.3333, 0.6667, 0.2500), Pd at (0.0429, 0.2370, 0.2500) and Au at (0.0908, 0.4601, 0.7500).


# 7
An optimized crystal structure of Rb2GaO, computed with PBE-GGA.

The uncorrected formation energy comes out at -1.9 eV per formula unit. The calculation puts the energy above the most stable polymorph in this dataset at 0 meV per atom. Its density of states at the Fermi level is 2.8 states/eV/f.u. The value obtained for the total magnetization is 3.56 Bohr magnetons per cell.

It has space group I-42d (No. 122), with a = 12.189 Å, b = 12.189 Å, c = 4.169 Å, α = 90.00°, β = 90.00° and γ = 90.00°. The inequivalent atoms are Rb at (0.047, 0.250, 0.125), Ga at (0.000, 0.000, 0.500) and O at (0.000, 0.000, 0.000).


# 8
An optimized crystal structure of HfNiSn2S, computed with PBE-GGA.

The uncorrected formation energy comes out at 1.3 eV per formula unit. Its density of states at the Fermi level is 3.7 states/eV/f.u. The value obtained for the total magnetization is 0.00 Bohr magnetons per cell.

It has space group P4/mmm (No. 123), with a = 5.299 Å, b = 5.299 Å, c = 3.977 Å, α = 90.00°, β = 90.00° and γ = 90.00°. The inequivalent atoms are Hf at (0.000, 0.000, 0.000), Ni at (0.500, 0.500, 0.500), Sn at (0.000, 0.500, 0.500) and S at (0.500, 0.500, 0.000).